(1)
Dy3NiBr3 PBE-GGA optimized geometry; symmetry = P2_1/m (11); total magnetic moment = 0.0 μB per formula unit; E_form (uncorrected) = -115.36 kJ/mol of atoms; density = 6.566 Mg/m³
1.0
8.622 0.000 0.000
0.000 3.947 0.000
-0.389 0.000 11.682
Dy Ni Br
6 2 6
direct
0.112 0.250 0.339
0.116 0.250 0.875
0.302 0.750 0.116
0.698 0.250 0.884
0.884 0.750 0.125
0.888 0.750 0.661
0.095 0.250 0.113
0.905 0.750 0.887
0.132 0.250 0.607
0.362 0.750 0.368
0.402 0.750 0.869
0.598 0.250 0.131
0.638 0.250 0.632
0.868 0.750 0.393

---

(2)
SnAsSe2 PBE-GGA optimized geometry; symmetry = R-3m (166); total magnetic moment = 0.0 μB per formula unit; E_form (uncorrected) = 4.94 kJ/mol of atoms; density = 5.145 Mg/m³
1.0
3.922 0.000 0.000
-1.961 3.396 0.000
0.000 0.000 25.553
Sn As Se
3 3 6
direct
0.000 0.000 0.000
0.333 0.667 0.667
0.667 0.333 0.333
0.000 0.000 0.500
0.333 0.667 0.167
0.667 0.333 0.833
0.000 0.000 0.401
0.000 0.000 0.599
0.333 0.667 0.068
0.333 0.667 0.266
0.667 0.333 0.734
0.667 0.333 0.932

---

(3)
Be2AlFe PBE-GGA optimized geometry; symmetry = Amm2 (38); total magnetic moment = 1.4 μB per formula unit; density = 4.061 Mg/m³; calculated formation energy = -0.081 eV per atom
1.0
3.630 0.000 0.000
0.000 2.528 0.000
0.000 0.000 8.987
Be Al Fe
4 2 2
direct
0.000 0.000 0.000
0.000 0.500 0.500
0.500 0.000 0.122
0.500 0.500 0.622
0.500 0.000 0.377
0.500 0.500 0.877
0.000 0.000 0.725
0.000 0.500 0.225

---

(4)
HoScTaO6 PBE-GGA optimized geometry; symmetry = P312 (149); total magnetic moment = 1.0 μB per formula unit; E_form (uncorrected) = -281.06 kJ/mol of atoms; density = 6.879 Mg/m³
1.0
5.494 0.000 0.000
-2.747 4.758 0.000
0.000 0.000 4.496
Ho Sc Ta O
1 1 1 6
direct
0.000 0.000 0.000
0.667 0.333 0.500
0.333 0.667 0.000
0.015 0.368 0.239
0.015 0.647 0.761
0.353 0.368 0.761
0.353 0.985 0.239
0.632 0.647 0.239
0.632 0.985 0.761

---

(5)
Co2H PBE-GGA optimized geometry; symmetry = R-3m (166); total magnetic moment = 2.8 μB per formula unit; density = 8.384 Mg/m³; DFT total energy = -52.5 eV per cell
1.0
2.553 0.000 0.000
-1.277 2.211 0.000
0.000 0.000 12.513
Co H
6 3
direct
0.000 0.000 0.246
0.000 0.000 0.754
0.333 0.667 0.421
0.333 0.667 0.913
0.667 0.333 0.087
0.667 0.333 0.579
0.000 0.000 0.000
0.333 0.667 0.667
0.667 0.333 0.333

---

(6)
TaCO2 PBE-GGA optimized geometry; symmetry = R-3m (166); total magnetic moment = 0.0 μB per formula unit; E_form (uncorrected) = 9.87 kJ/mol of atoms; density = 9.532 Mg/m³
1.0
2.787 0.000 0.000
-1.393 2.413 0.000
0.000 0.000 17.481
Ta C O
3 3 6
direct
0.000 0.000 0.000
0.333 0.667 0.667
0.667 0.333 0.333
0.000 0.000 0.500
0.333 0.667 0.167
0.667 0.333 0.833
0.000 0.000 0.423
0.000 0.000 0.577
0.333 0.667 0.089
0.333 0.667 0.244
0.667 0.333 0.756
0.667 0.333 0.911

---

(7)
CdInHg2Au PBE-GGA optimized geometry; symmetry = P4/mmm (123); total magnetic moment = 0.0 μB per formula unit; density = 8.890 Mg/m³; calculated formation energy = 0.126 eV per atom
1.0
5.378 0.000 0.000
0.000 5.378 0.000
0.000 0.000 5.329
Cd In Hg Au
1 1 2 1
direct
0.000 0.000 0.000
0.500 0.500 0.000
0.000 0.500 0.500
0.500 0.000 0.500
0.000 0.000 0.500

---

(8)
TmMg8Ni2 PBE-GGA optimized geometry; symmetry = C2/m (12); total magnetic moment = 0.0 μB per formula unit; density = 3.379 Mg/m³; calculated formation energy = 0.014 eV per atom
1.0
3.977 -5.969 0.000
3.977 5.969 0.000
-1.256 0.000 4.975
Tm Mg Ni
1 8 2
direct
0.000 0.000 0.000
0.068 0.330 0.576
0.267 0.733 0.000
0.330 0.068 0.576
0.413 0.413 0.224
0.587 0.587 0.776
0.670 0.932 0.424
0.733 0.267 0.000
0.932 0.670 0.424
0.309 0.691 0.500
0.691 0.309 0.500

---

Look up the density of the second one. 5.145 Mg/m³